Pr2SmTh | PBE | optimized geometry

Output
As for the space-group type: R-3m, No. 166. The theoretical density is 7.90 g cm⁻³. Its crystal system is trigonal. The distance to the lowest polymorph of the same formula comes out at 0.162 eV per atom. The spin magnetization is 0.0 μB/f.u.

Structure (CIF):
```
data_Pr2SmTh
_space_group_name_H-M_alt 'P 1'
_space_group_IT_number 1
_space_group_name_Hall 'P 1'
_cell_length_a 12.9931
_cell_length_b 12.9931
_cell_length_c 12.9931
_cell_angle_alpha 15.68
_cell_angle_beta 15.68
_cell_angle_gamma 15.68
loop_
_atom_site_label
_atom_site_type_symbol
_atom_site_fract_x
_atom_site_fract_y
_atom_site_fract_z
Pr1 Pr 0.0890 0.0890 0.0890
Pr2 Pr 0.9110 0.9110 0.9110
Sm1 Sm 0.5000 0.5000 0.5000
Th1 Th 0.0000 0.0000 0.0000
```